Below is crystalline Tm2HRu at its relaxed geometry, with properties calculated at the PBE-GGA level.

## Properties
Energy relative to the lowest polymorph listed for this composition (meV per atom): 0
Symmetry: R-3m, No. 166

a = 3.4963 Å, b = 3.4963 Å, c = 7.0160 Å
α = 75.57°, β = 75.57°, γ = 60.00°
With the nearest neighbours (Å) after each atom.
Fractional coordinates of all 4 atoms:
Tm (0.2603, 0.2603, 0.2191)  3 H 2.50, 3 Ru 2.76
Tm (0.7397, 0.7397, 0.7809)  3 H 2.50, 3 Ru 2.76
H (0.0000, 0.0000, 0.0000)  6 Tm 2.50
Ru (0.5000, 0.5000, 0.5000)  6 Tm 2.76


Below is crystalline Tm2H8Ru at its relaxed geometry, with properties calculated at the PBE-GGA level.

## Properties
Energy (eV per cell): -49.3
Symmetry: C2/m, No. 12

a = 3.5178 Å, b = 4.1540 Å, c = 6.7535 Å
α = 107.94°, β = 105.10°, γ = 90.00°
With the nearest neighbours (Å) after each atom.
Fractional coordinates of all 11 atoms:
H (0.0000, 0.2042, 0.0000)  1 H 1.70
H (0.0000, 0.7958, 0.0000)  1 H 1.70
H (0.3866, 0.6522, 0.7732)  1 Ru 1.71
H (0.6134, 0.3478, 0.2268)  1 Ru 1.71
H (0.6147, 0.8856, 0.2293)  1 Ru 1.71
H (0.2378, 0.2385, 0.4756)  2 H 2.14, 4 Tm 2.26-2.36
H (0.3853, 0.1144, 0.7707)  1 Ru 1.71
H (0.7622, 0.7615, 0.5244)  2 H 2.14, 4 Tm 2.26-2.36
Tm (0.8529, 0.3522, 0.7059)  10 H 2.12-2.36
Tm (0.1471, 0.6478, 0.2941)  10 H 2.12-2.36
Ru (0.5000, 0.0000, 0.0000)  4 H 1.71


Below is crystalline TmH2Ru at its relaxed geometry, with properties calculated at the PBE-GGA level.

## Properties
Energy (eV per cell): -21.6
Symmetry: R-3m, No. 166

a = 3.5747 Å, b = 3.5747 Å, c = 4.8248 Å
α = 68.26°, β = 68.26°, γ = 60.00°
With the nearest neighbours (Å) after each atom.
Fractional coordinates of all 4 atoms:
H (0.1287, 0.1287, 0.6138)  1 Ru 1.68
H (0.8713, 0.8713, 0.3862)  1 Ru 1.68
Tm (0.5000, 0.5000, 0.5000)  6 H 2.12
Ru (0.0000, 0.0000, 0.0000)  2 H 1.68


Below is crystalline TmH3Ru at its relaxed geometry, with properties calculated at the PBE-GGA level.

## Properties
Energy (eV per cell): -52.5
Symmetry: Cm, No. 8

a = 3.6207 Å, b = 4.7639 Å, c = 5.9455 Å
α = 89.83°, β = 107.74°, γ = 90.02°
With the nearest neighbours (Å) after each atom.
Fractional coordinates of all 10 atoms:
Tm (0.9328, 0.4598, 0.2206)  8 H 2.27-2.54
Tm (0.1990, 0.9716, 0.7536)  7 H 2.16-2.40
H (0.9821, 0.9654, 0.3192)  2 Ru 1.81
H (0.3657, 0.7077, 0.0858)  1 Ru 1.71
H (0.6178, 0.8144, 0.5916)  2 Ru 1.73-1.77
H (0.7551, 0.2139, 0.8651)  1 Ru 1.69
H (0.3700, 0.2125, 0.0955)  1 Ru 1.69
H (0.1568, 0.4659, 0.6685)  2 Ru 1.82
Ru (0.4733, 0.9565, 0.3016)  5 H 1.69-1.81
Ru (0.6458, 0.4565, 0.6465)  4 H 1.69-1.82


Below is crystalline TmH4Ru at its relaxed geometry, with properties calculated at the PBE-GGA level.

## Properties
Energy relative to the lowest polymorph listed for this composition (meV per atom): 9
Symmetry: Cmcm, No. 63

a = 3.7141 Å, b = 3.7141 Å, c = 8.2613 Å
α = 90.00°, β = 90.00°, γ = 68.71°
With the nearest neighbours (Å) after each atom.
Fractional coordinates of all 12 atoms:
H (0.3482, 0.8530, 0.7500)  2 Ru 1.84-1.88
H (0.3509, 0.3508, 0.5446)  1 Ru 1.70
H (0.3509, 0.3508, 0.9554)  1 Ru 1.70
H (0.8530, 0.3487, 0.7500)  2 Ru 1.84-1.88
H (0.1470, 0.6518, 0.2500)  2 Ru 1.84-1.88
H (0.6492, 0.6491, 0.4554)  1 Ru 1.70
H (0.6513, 0.1470, 0.2500)  2 Ru 1.84-1.88
H (0.6492, 0.6491, 0.0446)  1 Ru 1.70
Ru (0.3481, 0.3480, 0.7500)  6 H 1.70-1.88
Ru (0.6520, 0.6519, 0.2500)  6 H 1.70-1.88
Tm (0.0000, 0.0000, 0.5000)  10 H 2.18-2.39
Tm (0.0000, 0.0000, 0.0000)  10 H 2.18-2.39


Below is crystalline Tm2HRu at its relaxed geometry, with properties calculated at the PBE-GGA level.

## Properties
Energy relative to the lowest polymorph listed for this composition (meV per atom): 51
Symmetry: P4/mmm, No. 123

a = 3.2363 Å, b = 3.2363 Å, c = 6.9517 Å
α = 90.00°, β = 90.00°, γ = 90.00°
With the nearest neighbours (Å) after each atom.
Fractional coordinates of all 4 atoms:
Tm (0.0000, 0.0000, 0.7576)  4 Ru 2.84, 4 H 2.91
Tm (0.0000, 0.0000, 0.2424)  4 Ru 2.84, 4 H 2.91
Ru (0.5000, 0.5000, 0.0000)  8 Tm 2.84
H (0.5000, 0.5000, 0.5000)  8 Tm 2.91, 4 H 3.24


Below is crystalline UH2Ru at its relaxed geometry, with properties calculated at the PBE-GGA level.

## Properties
Energy (eV per cell): -26.4
Symmetry: R-3m, No. 166

a = 3.0185 Å, b = 3.0185 Å, c = 6.0385 Å
α = 75.53°, β = 75.53°, γ = 60.00°
With the nearest neighbours (Å) after each atom.
Fractional coordinates of all 4 atoms:
H (0.9043, 0.9043, 0.2872)  1 Ru 1.66
H (0.0957, 0.0957, 0.7128)  1 Ru 1.66
Ru (0.0000, 0.0000, 0.0000)  2 H 1.66
U (0.5000, 0.5000, 0.5000)  6 H 2.13


Below is crystalline UH6Ru3 at its relaxed geometry, with properties calculated at the PBE-GGA level.

## Properties
Energy (eV per cell): -60.2
Symmetry: R3, No. 146

a = 4.8345 Å, b = 4.8351 Å, c = 5.5923 Å
α = 89.99°, β = 115.60°, γ = 120.00°
With the nearest neighbours (Å) after each atom.
Fractional coordinates of all 10 atoms:
H (0.5716, 0.3998, 0.2531)  3 Ru 1.83-1.90
H (0.8061, 0.3977, 0.7444)  1 Ru 1.69
H (0.0811, 0.6813, 0.2531)  3 Ru 1.84-1.90
H (0.3467, 0.4083, 0.7443)  1 Ru 1.69
H (0.3360, 0.9385, 0.7442)  1 Ru 1.69
H (0.8533, 0.1718, 0.2531)  3 Ru 1.84-1.90
U (0.7864, 0.8932, 0.6795)  2 Ru 2.31, 6 H 2.41-2.47
Ru (0.1046, 0.0522, 0.1569)  3 H 1.83-1.84
Ru (0.6453, 0.3226, 0.9680)  6 H 1.69-1.85
Ru (0.4689, 0.7344, 0.2035)  3 H 1.90


> What is the formula in the fifth record?

TmH4Ru


> What is the formula in the second record?

Tm2H8Ru